Density functional theory data (GGA-PBE) for KCdPt2 after structural relaxation.

a = 9.339 Å, b = 2.853 Å, c = 7.096 Å
α = 90.00°, β = 96.04°, γ = 90.00°
Fractional coordinates of all 8 atoms:
K (0.000, 0.000, 0.000)
K (0.500, 0.500, 0.000)
Cd (0.000, 0.500, 0.500)
Cd (0.500, 0.000, 0.500)
Pt (0.239, 0.000, 0.665)
Pt (0.261, 0.500, 0.335)
Pt (0.739, 0.500, 0.665)
Pt (0.761, 0.000, 0.335)

- formation energy from the elements (kJ per mole of atoms) = 1.49
- E above lowest polymorph (meV/atom) = 228
- symmetry = No. 12


Density functional theory data (GGA-PBE) for Th3In5Te12 after structural relaxation.

a = 15.540 Å, b = 15.540 Å, c = 15.540 Å
α = 109.47°, β = 109.47°, γ = 109.47°
Fractional coordinates of all 80 atoms:
Th (0.125, 0.250, 0.375)
Th (0.125, 0.375, 0.750)
Th (0.250, 0.375, 0.125)
Th (0.250, 0.875, 0.625)
Th (0.375, 0.125, 0.250)
Th (0.375, 0.750, 0.125)
Th (0.625, 0.250, 0.875)
Th (0.625, 0.875, 0.750)
Th (0.750, 0.125, 0.375)
Th (0.750, 0.625, 0.875)
Th (0.875, 0.625, 0.250)
Th (0.875, 0.750, 0.625)
In (0.000, 0.000, 0.000)
In (0.000, 0.000, 0.500)
In (0.000, 0.500, 0.000)
In (0.000, 0.500, 0.500)
In (0.125, 0.750, 0.875)
In (0.125, 0.875, 0.250)
In (0.250, 0.125, 0.875)
In (0.250, 0.625, 0.375)
In (0.375, 0.250, 0.625)
In (0.375, 0.625, 0.750)
In (0.500, 0.000, 0.000)
In (0.500, 0.000, 0.500)
In (0.500, 0.500, 0.000)
In (0.500, 0.500, 0.500)
In (0.625, 0.375, 0.250)
In (0.625, 0.750, 0.375)
In (0.750, 0.375, 0.625)
In (0.750, 0.875, 0.125)
In (0.875, 0.125, 0.750)
In (0.875, 0.250, 0.125)
Te (0.050, 0.223, 0.135)
Te (0.050, 0.327, 0.914)
Te (0.086, 0.635, 0.412)
Te (0.086, 0.950, 0.673)
Te (0.088, 0.723, 0.673)
Te (0.088, 0.865, 0.414)
Te (0.135, 0.050, 0.223)
Te (0.135, 0.586, 0.912)
Te (0.173, 0.223, 0.588)
Te (0.173, 0.450, 0.586)
Te (0.223, 0.135, 0.050)
Te (0.223, 0.588, 0.173)
Te (0.277, 0.327, 0.912)
Te (0.277, 0.450, 0.365)
Te (0.327, 0.912, 0.277)
Te (0.327, 0.914, 0.050)
Te (0.365, 0.277, 0.450)
Te (0.365, 0.588, 0.914)
Te (0.412, 0.086, 0.635)
Te (0.412, 0.827, 0.777)
Te (0.414, 0.088, 0.865)
Te (0.414, 0.827, 0.550)
Te (0.450, 0.365, 0.277)
Te (0.450, 0.586, 0.173)
Te (0.550, 0.414, 0.827)
Te (0.550, 0.635, 0.723)
Te (0.586, 0.173, 0.450)
Te (0.586, 0.912, 0.135)
Te (0.588, 0.173, 0.223)
Te (0.588, 0.914, 0.365)
Te (0.635, 0.412, 0.086)
Te (0.635, 0.723, 0.550)
Te (0.673, 0.086, 0.950)
Te (0.673, 0.088, 0.723)
Te (0.723, 0.550, 0.635)
Te (0.723, 0.673, 0.088)
Te (0.777, 0.412, 0.827)
Te (0.777, 0.865, 0.950)
Te (0.827, 0.550, 0.414)
Te (0.827, 0.777, 0.412)
Te (0.865, 0.414, 0.088)
Te (0.865, 0.950, 0.777)
Te (0.912, 0.135, 0.586)
Te (0.912, 0.277, 0.327)
Te (0.914, 0.050, 0.327)
Te (0.914, 0.365, 0.588)
Te (0.950, 0.673, 0.086)
Te (0.950, 0.777, 0.865)

- symmetry = No. 230
- ΔE_f (raw) (eV/f.u.) = -12.349


Density functional theory data (GGA-PBE) for GdInCuAu after structural relaxation.

a = 6.897 Å, b = 6.897 Å, c = 6.897 Å
α = 90.00°, β = 90.00°, γ = 90.00°
Fractional coordinates of all 16 atoms:
Gd (0.000, 0.000, 0.000)
Gd (0.000, 0.500, 0.500)
Gd (0.500, 0.000, 0.500)
Gd (0.500, 0.500, 0.000)
In (0.000, 0.000, 0.500)
In (0.000, 0.500, 0.000)
In (0.500, 0.000, 0.000)
In (0.500, 0.500, 0.500)
Cu (0.250, 0.250, 0.250)
Cu (0.250, 0.750, 0.750)
Cu (0.750, 0.250, 0.750)
Cu (0.750, 0.750, 0.250)
Au (0.250, 0.250, 0.750)
Au (0.250, 0.750, 0.250)
Au (0.750, 0.250, 0.250)
Au (0.750, 0.750, 0.750)

- formation energy from the elements (kJ per mole of atoms) = -47.07
- symmetry = No. 216


Density functional theory data (GGA-PBE) for TmPaN2 after structural relaxation.

a = 3.323 Å, b = 3.323 Å, c = 6.135 Å
α = 90.00°, β = 90.00°, γ = 120.00°
Fractional coordinates of all 4 atoms:
Tm (0.000, 0.000, 0.000)
Pa (0.000, 0.000, 0.500)
N (0.333, 0.667, 0.762)
N (0.667, 0.333, 0.238)

- symmetry = No. 164
- ΔE_f (raw) (eV/f.u.) = -5.115


Density functional theory data (GGA-PBE) for CaSe2S after structural relaxation.

a = 3.953 Å, b = 3.953 Å, c = 25.384 Å
α = 90.00°, β = 90.00°, γ = 120.00°
Fractional coordinates of all 12 atoms:
Ca (0.000, 0.000, 0.000)
Ca (0.333, 0.667, 0.667)
Ca (0.667, 0.333, 0.333)
Se (0.000, 0.000, 0.113)
Se (0.000, 0.000, 0.887)
Se (0.333, 0.667, 0.554)
Se (0.333, 0.667, 0.779)
Se (0.667, 0.333, 0.221)
Se (0.667, 0.333, 0.446)
S (0.000, 0.000, 0.500)
S (0.333, 0.667, 0.167)
S (0.667, 0.333, 0.833)

- symmetry = No. 166
- ΔE_f (raw) (eV/f.u.) = 0.588


Density functional theory data (GGA-PBE) for AcCu4Sb after structural relaxation.

a = 5.415 Å, b = 5.415 Å, c = 5.415 Å
α = 60.00°, β = 60.00°, γ = 60.00°
Fractional coordinates of all 6 atoms:
Ac (0.000, 0.000, 0.000)
Cu (0.129, 0.624, 0.624)
Cu (0.624, 0.129, 0.624)
Cu (0.624, 0.624, 0.129)
Cu (0.624, 0.624, 0.624)
Sb (0.250, 0.250, 0.250)

- symmetry = No. 216
- ΔE_f (raw) (eV/f.u.) = -0.476


Density functional theory data (GGA-PBE) for Sr2NbW2 after structural relaxation.

a = 6.768 Å, b = 6.768 Å, c = 5.585 Å
α = 90.00°, β = 90.00°, γ = 90.00°
Fractional coordinates of all 10 atoms:
Sr (0.177, 0.323, 0.000)
Sr (0.323, 0.823, 0.000)
Sr (0.677, 0.177, 0.000)
Sr (0.823, 0.677, 0.000)
Nb (0.000, 0.000, 0.500)
Nb (0.500, 0.500, 0.500)
W (0.131, 0.631, 0.500)
W (0.369, 0.131, 0.500)
W (0.631, 0.869, 0.500)
W (0.869, 0.369, 0.500)

- formation energy from the elements (kJ per mole of atoms) = 94.12
- E above lowest polymorph (meV/atom) = 0
- symmetry = No. 127


Density functional theory data (GGA-PBE) for La2Pr7Sc2 after structural relaxation.

a = 8.125 Å, b = 8.125 Å, c = 6.212 Å
α = 104.80°, β = 104.80°, γ = 93.10°
Fractional coordinates of all 11 atoms:
La (0.078, 0.078, 0.298)
La (0.922, 0.922, 0.702)
Pr (0.080, 0.560, 0.311)
Pr (0.289, 0.289, 0.916)
Pr (0.440, 0.920, 0.689)
Pr (0.500, 0.500, 0.500)
Pr (0.560, 0.080, 0.311)
Pr (0.711, 0.711, 0.084)
Pr (0.920, 0.440, 0.689)
Sc (0.274, 0.726, 0.000)
Sc (0.726, 0.274, 0.000)

- formation energy from the elements (kJ per mole of atoms) = 13.35
- E above lowest polymorph (meV/atom) = 0
- symmetry = No. 12


Density functional theory data (GGA-PBE) for Ba3CeSb2O9 after structural relaxation.

a = 6.132 Å, b = 6.132 Å, c = 7.502 Å
α = 90.00°, β = 90.00°, γ = 120.00°
Fractional coordinates of all 15 atoms:
Ba (0.000, 0.000, 0.000)
Ba (0.333, 0.667, 0.679)
Ba (0.667, 0.333, 0.321)
Ce (0.000, 0.000, 0.500)
Sb (0.333, 0.667, 0.165)
Sb (0.667, 0.333, 0.835)
O (0.000, 0.500, 0.000)
O (0.174, 0.347, 0.327)
O (0.174, 0.826, 0.327)
O (0.347, 0.174, 0.673)
O (0.500, 0.000, 0.000)
O (0.500, 0.500, 0.000)
O (0.653, 0.826, 0.327)
O (0.826, 0.174, 0.673)
O (0.826, 0.653, 0.673)

- symmetry = No. 164
- ΔE_f (raw) (eV/f.u.) = -36.104


Density functional theory data (GGA-PBE) for Pm2Mg3Cu4 after structural relaxation.

a = 8.988 Å, b = 8.988 Å, c = 7.155 Å
α = 90.00°, β = 90.00°, γ = 141.52°
Fractional coordinates of all 18 atoms:
Pm (0.100, 0.900, 0.907)
Pm (0.400, 0.600, 0.407)
Pm (0.600, 0.400, 0.593)
Pm (0.900, 0.100, 0.093)
Mg (0.000, 0.000, 0.500)
Mg (0.014, 0.486, 0.750)
Mg (0.486, 0.014, 0.250)
Mg (0.500, 0.500, 0.000)
Mg (0.514, 0.986, 0.750)
Mg (0.986, 0.514, 0.250)
Cu (0.157, 0.843, 0.508)
Cu (0.176, 0.324, 0.750)
Cu (0.324, 0.176, 0.250)
Cu (0.343, 0.657, 0.008)
Cu (0.657, 0.343, 0.992)
Cu (0.676, 0.824, 0.750)
Cu (0.824, 0.676, 0.250)
Cu (0.843, 0.157, 0.492)

- formation energy from the elements (kJ per mole of atoms) = -10.15
- symmetry = No. 64


Density functional theory data (GGA-PBE) for SiSnAs2 after structural relaxation.

a = 6.857 Å, b = 6.857 Å, c = 6.857 Å
α = 90.00°, β = 90.00°, γ = 90.00°
Fractional coordinates of all 16 atoms:
Si (0.000, 0.000, 0.000)
Si (0.000, 0.500, 0.500)
Si (0.500, 0.000, 0.500)
Si (0.500, 0.500, 0.000)
Sn (0.000, 0.000, 0.500)
Sn (0.000, 0.500, 0.000)
Sn (0.500, 0.000, 0.000)
Sn (0.500, 0.500, 0.500)
As (0.250, 0.250, 0.250)
As (0.250, 0.250, 0.750)
As (0.250, 0.750, 0.250)
As (0.250, 0.750, 0.750)
As (0.750, 0.250, 0.250)
As (0.750, 0.250, 0.750)
As (0.750, 0.750, 0.250)
As (0.750, 0.750, 0.750)

- E above lowest polymorph (meV/atom) = 323
- symmetry = No. 225
- ΔE_f (raw) (eV/f.u.) = 1.660


Density functional theory data (GGA-PBE) for SeS after structural relaxation.

a = 3.351 Å, b = 5.738 Å, c = 10.880 Å
α = 90.00°, β = 90.00°, γ = 90.00°
Fractional coordinates of all 8 atoms:
Se (0.000, 0.000, 0.000)
Se (0.000, 0.500, 0.500)
Se (0.500, 0.000, 0.500)
Se (0.500, 0.500, 0.000)
S (0.000, 0.000, 0.187)
S (0.000, 0.500, 0.687)
S (0.500, 0.000, 0.687)
S (0.500, 0.500, 0.187)

- E above lowest polymorph (meV/atom) = 177
- symmetry = No. 42
- ΔE_f (raw) (eV/f.u.) = 0.443